No. 1
This record from the Alexandria database describes a relaxed structure of NaLa2HfC. The functional is GGA-PBE.

Properties
The value obtained for the volume is 26.4 Å³ per atom. The formation energy comes out at 0.66 eV per atom.

a b c (Å): 5.195 5.195 4.884
angles (deg): 90.00 90.00 90.00
Space group P4/mmm (No. 123)
Symmetry-distinct sites (fractional):
1 Na 0.000 0.000 0.000 (multiplicity 1)
2 La 0.000 0.500 0.500 (multiplicity 2)
3 Hf 0.500 0.500 0.000 (multiplicity 1)
4 C 0.000 0.000 0.500 (multiplicity 1)



No. 2
This record from the Alexandria database describes a relaxed structure of Be2TcCl. The functional is GGA-PBE.

Properties
The value obtained for the volume is 13.0 Å³ per atom. The total energy comes out at -56.800 eV for the cell shown.

a b c (Å): 2.9384 2.9384 20.7973
angles (deg): 90.00 90.00 120.00
Space group R-3m (No. 166, hexagonal axes)
Symmetry-distinct sites (fractional):
1 Be 0.0000 0.0000 0.2475 (multiplicity 6)
2 Tc 0.0000 0.0000 0.5000 (multiplicity 3)
3 Cl 0.0000 0.0000 0.0000 (multiplicity 3)



No. 3
This record from the Alexandria database describes a relaxed structure of SmTm5Al6. The functional is GGA-PBE.

Properties
The value obtained for the volume is 22.8 Å³ per atom. The formation energy comes out at -0.38 eV per atom.

a b c (Å): 5.052 15.175 7.136
angles (deg): 90.00 90.00 90.00
Space group Cmmm (No. 65)
Symmetry-distinct sites (fractional):
1 Sm 0.000 0.000 0.000 (multiplicity 2)
2 Tm 0.000 0.000 0.500 (multiplicity 2)
3 Tm 0.000 0.332 0.000 (multiplicity 4)
4 Tm 0.000 0.336 0.500 (multiplicity 4)
5 Al 0.000 0.169 0.255 (multiplicity 8)
6 Al 0.000 0.500 0.254 (multiplicity 4)



No. 4
This record from the Alexandria database describes a relaxed structure of Ca3Tb. The functional is GGA-PBE.

Properties
The value obtained for the volume is 38.6 Å³ per atom. The formation energy comes out at 0.11 eV per atom.

a b c (Å): 3.740 12.508 6.606
angles (deg): 90.00 90.00 90.00
Space group Imm2 (No. 44)
Symmetry-distinct sites (fractional):
1 Ca 0.000 0.000 0.000 (multiplicity 2)
2 Ca 0.000 0.246 0.669 (multiplicity 4)
3 Tb 0.000 0.500 0.000 (multiplicity 2)



No. 5
This record from the Alexandria database describes a relaxed structure of MgSiOs. The functional is GGA-PBE.

Properties
The value obtained for the volume is 17.0 Å³ per atom. The total energy comes out at -38.260 eV for the cell shown.

a b c (Å): 4.130 4.130 5.984
angles (deg): 90.00 90.00 90.00
Space group P4/nmm (No. 129, origin choice 2)
Symmetry-distinct sites (fractional):
1 Mg 0.250 0.250 0.171 (multiplicity 2)
2 Si 0.250 0.250 0.715 (multiplicity 2)
3 Os 0.250 0.750 0.500 (multiplicity 2)



No. 6
This record from the Alexandria database describes a relaxed structure of SrLaGa2. The functional is GGA-PBE.

Properties
The value obtained for the volume is 32.4 Å³ per atom. The formation energy comes out at -0.08 eV per atom.

a b c (Å): 8.403 8.403 7.343
angles (deg): 90.00 90.00 90.00
Space group I-42d (No. 122)
Symmetry-distinct sites (fractional):
1 Sr 0.000 0.000 0.000 (multiplicity 4)
2 La 0.000 0.000 0.500 (multiplicity 4)
3 Ga 0.238 0.750 0.625 (multiplicity 8)



No. 7
This record from the Alexandria database describes a relaxed structure of Sc2NiH8. The functional is GGA-PBE.

Properties
The value obtained for the volume is 8.4 Å³ per atom. The total energy comes out at -96.752 eV for the cell shown.

a b c (Å): 12.559 3.075 4.796
angles (deg): 90.00 90.44 90.00
Space group C2/m (No. 12)
Symmetry-distinct sites (fractional):
1 Sc 0.174 0.000 0.256 (multiplicity 4)
2 Ni 0.000 0.500 0.000 (multiplicity 2)
3 H 0.061 0.000 0.911 (multiplicity 4)
4 H 0.062 0.500 0.282 (multiplicity 4)
5 H 0.187 0.500 0.530 (multiplicity 4)
6 H 0.248 0.000 0.884 (multiplicity 4)



No. 8
This record from the Alexandria database describes a relaxed structure of Rb2Na3Hg3. The functional is GGA-PBE.

Properties
The value obtained for the volume is 37.5 Å³ per atom. The formation energy comes out at -0.12 eV per atom.

a b c (Å): 9.6169 9.6169 3.7484
angles (deg): 90.00 90.00 120.00
Space group P-62m (No. 189)
Symmetry-distinct sites (fractional):
1 Rb 0.3333 0.6667 0.0000 (multiplicity 2)
2 Na 0.0000 0.2134 0.0000 (multiplicity 3)
3 Hg 0.0000 0.6837 0.5000 (multiplicity 3)



No. 9
This record from the Alexandria database describes a relaxed structure of ThGa2Cu2Pd. The functional is GGA-PBE.

Properties
The value obtained for the volume is 20.3 Å³ per atom. The formation energy comes out at -0.03 eV per atom.

a b c (Å): 4.735 4.735 5.438
angles (deg): 90.00 90.00 90.00
Space group P4/mmm (No. 123)
Symmetry-distinct sites (fractional):
1 Th 0.000 0.000 0.000 (multiplicity 1)
2 Ga 0.000 0.500 0.500 (multiplicity 2)
3 Cu 0.500 0.500 0.226 (multiplicity 2)
4 Pd 0.000 0.000 0.500 (multiplicity 1)



No. 10
This record from the Alexandria database describes a relaxed structure of Ba3TlS. The functional is GGA-PBE.

Properties
The value obtained for the volume is 45.7 Å³ per atom. The total energy comes out at -16.588 eV for the cell shown.

a b c (Å): 6.115 6.115 6.115
angles (deg): 90.00 90.00 90.00
Space group Pm-3m (No. 221)
Symmetry-distinct sites (fractional):
1 Ba 0.000 0.000 0.500 (multiplicity 3)
2 Tl 0.500 0.500 0.500 (multiplicity 1)
3 S 0.000 0.000 0.000 (multiplicity 1)



No. 11
This record from the Alexandria database describes a relaxed structure of Dy4Ho3Tm. The functional is GGA-PBE.

Properties
The value obtained for the volume is 31.8 Å³ per atom. The formation energy comes out at 0.20 eV per atom.

a b c (Å): 5.565 25.794 3.543
angles (deg): 90.00 90.00 90.00
Space group Cmmm (No. 65)
Symmetry-distinct sites (fractional):
1 Dy 0.000 0.103 0.000 (multiplicity 4)
2 Dy 0.000 0.223 0.000 (multiplicity 4)
3 Ho 0.000 0.346 0.500 (multiplicity 4)
4 Ho 0.000 0.500 0.000 (multiplicity 2)
5 Tm 0.000 0.000 0.500 (multiplicity 2)



No. 12
This record from the Alexandria database describes a relaxed structure of Rb2CoCuC. The functional is GGA-PBE.

Properties
The value obtained for the volume is 30.9 Å³ per atom. The formation energy comes out at 1.20 eV per atom.

a b c (Å): 6.549 6.549 3.607
angles (deg): 90.00 90.00 90.00
Space group P4/mmm (No. 123)
Symmetry-distinct sites (fractional):
1 Rb 0.000 0.500 0.000 (multiplicity 2)
2 Co 0.000 0.000 0.500 (multiplicity 1)
3 Cu 0.500 0.500 0.000 (multiplicity 1)
4 C 0.500 0.500 0.500 (multiplicity 1)



No. 13
This record from the Alexandria database describes a relaxed structure of Nd2PuGa3Ir4. The functional is GGA-PBE.

Properties
The value obtained for the volume is 20.2 Å³ per atom. The formation energy comes out at -0.65 eV per atom.

a b c (Å): 4.311 4.311 10.864
angles (deg): 90.00 90.00 90.00
Space group P-4m2 (No. 115)
Symmetry-distinct sites (fractional):
1 Nd 0.000 0.500 0.224 (multiplicity 2)
2 Pu 0.000 0.000 0.500 (multiplicity 1)
3 Ga 0.000 0.500 0.881 (multiplicity 2)
4 Ga 0.500 0.500 0.500 (multiplicity 1)
5 Ir 0.000 0.000 0.000 (multiplicity 1)
6 Ir 0.000 0.500 0.650 (multiplicity 2)
7 Ir 0.500 0.500 0.000 (multiplicity 1)



No. 14
This record from the Alexandria database describes a relaxed structure of CePm2ThSb4. The functional is GGA-PBE.

Properties
The value obtained for the volume is 32.2 Å³ per atom. The total energy comes out at -48.145 eV for the cell shown.

a b c (Å): 7.791 4.502 7.792
angles (deg): 90.00 109.46 90.00
Space group P2/m (No. 10)
Symmetry-distinct sites (fractional):
1 Ce 0.000 0.000 0.000 (multiplicity 1)
2 Pm 0.000 0.500 0.500 (multiplicity 1)
3 Pm 0.500 0.000 0.500 (multiplicity 1)
4 Th 0.500 0.500 0.000 (multiplicity 1)
5 Sb 0.250 0.000 0.750 (multiplicity 2)
6 Sb 0.250 0.500 0.250 (multiplicity 2)